(one)
# Ac3CePb4 (PBE, optimized geometry)
# Volume = 34.45 Å³/atom
# Theoretical density = 9.94 g/cm3
data_Ac3CePb4
_space_group_name_H-M_alt 'P 4/m m m'
_space_group_IT_number 123
_space_group_name_Hall '-P 4 2'
_cell_length_a 4.324
_cell_length_b 4.324
_cell_length_c 14.742
_cell_angle_alpha 90.00
_cell_angle_beta 90.00
_cell_angle_gamma 90.00
loop_
_atom_site_label
_atom_site_type_symbol
_atom_site_fract_x
_atom_site_fract_y
_atom_site_fract_z
_atom_site_occupancy
Ac1 Ac 0.000 0.000 0.000 1
Ac2 Ac 0.000 0.000 0.259 1
Ce1 Ce 0.000 0.000 0.500 1
Pb1 Pb 0.500 0.500 0.129 1
Pb2 Pb 0.500 0.500 0.388 1



(two)
# Ac3CePb4 (PBE, optimized geometry)
# Volume = 35.11 Å³/atom
# Theoretical density = 9.75 g/cm3
data_Ac3CePb4
_space_group_name_H-M_alt 'P m n 21'
_space_group_IT_number 31
_cell_length_a 11.854
_cell_length_b 6.886
_cell_length_c 6.883
_cell_angle_alpha 90.00
_cell_angle_beta 90.00
_cell_angle_gamma 90.00
loop_
_space_group_symop_operation_xyz
'x,y,z'
'-x+1/2,-y,z+1/2'
'-x,y,z'
'x+1/2,-y,z+1/2'
loop_
_atom_site_label
_atom_site_type_symbol
_atom_site_fract_x
_atom_site_fract_y
_atom_site_fract_z
_atom_site_occupancy
Ac1 Ac 0.000 0.023 0.000 1
Ac2 Ac 0.249 0.263 0.715 1
Ce1 Ce 0.000 0.510 0.479 1
Pb1 Pb 0.000 0.003 0.491 1
Pb2 Pb 0.000 0.515 0.977 1
Pb3 Pb 0.227 0.760 0.714 1



Going by the energies, (one) is most stable and the next is 0.044 eV/atom up.



(one)
# AcCe2Pd (PBE, optimized geometry)
# Volume = 29.26 Å³/atom
# Theoretical density = 8.71 g/cm3
data_AcCe2Pd
_space_group_name_H-M_alt 'P 4/m m m'
_space_group_IT_number 123
_space_group_name_Hall '-P 4 2'
_cell_length_a 3.742
_cell_length_b 3.742
_cell_length_c 8.358
_cell_angle_alpha 90.00
_cell_angle_beta 90.00
_cell_angle_gamma 90.00
loop_
_atom_site_label
_atom_site_type_symbol
_atom_site_fract_x
_atom_site_fract_y
_atom_site_fract_z
_atom_site_occupancy
Ac1 Ac 0.000 0.000 0.000 1
Ce1 Ce 0.500 0.500 0.314 1
Pd1 Pd 0.000 0.000 0.500 1



(two)
# AcCe2Pd (PBE, optimized geometry)
# Volume = 33.02 Å³/atom
# Theoretical density = 7.71 g/cm3
data_AcCe2Pd
_space_group_name_H-M_alt 'R -3 m'
_space_group_IT_number 166
_space_group_name_Hall '-R 3 2"'
_cell_length_a 3.7667
_cell_length_b 3.7667
_cell_length_c 32.2497
_cell_angle_alpha 90.00
_cell_angle_beta 90.00
_cell_angle_gamma 120.00
loop_
_atom_site_label
_atom_site_type_symbol
_atom_site_fract_x
_atom_site_fract_y
_atom_site_fract_z
_atom_site_occupancy
Ac1 Ac 0.0000 0.0000 0.0000 1
Ce1 Ce 0.0000 0.0000 0.1077 1
Pd1 Pd 0.0000 0.0000 0.5000 1



Going by the energies, (one) is most stable and the next is 0.238 eV/atom up.



(one)
# AcCePd (PBE, optimized geometry)
# Volume = 30.71 Å³/atom
# Theoretical density = 8.53 g/cm3
data_AcCePd
_space_group_name_H-M_alt 'C 1 2/m 1'
_space_group_IT_number 12
_cell_length_a 13.175
_cell_length_b 3.947
_cell_length_c 8.723
_cell_angle_alpha 90.00
_cell_angle_beta 125.66
_cell_angle_gamma 90.00
loop_
_space_group_symop_operation_xyz
'x,y,z'
'-x,-y,-z'
'-x,y,-z'
'x,-y,z'
'x+1/2,y+1/2,z'
'-x+1/2,-y+1/2,-z'
'-x+1/2,y+1/2,-z'
'x+1/2,-y+1/2,z'
loop_
_atom_site_label
_atom_site_type_symbol
_atom_site_fract_x
_atom_site_fract_y
_atom_site_fract_z
_atom_site_occupancy
Ac1 Ac 0.161 0.000 0.074 1
Ce1 Ce 0.090 0.500 0.390 1
Pd1 Pd 0.125 0.000 0.672 1



(two)
# AcCePd (PBE, optimized geometry)
# Volume = 29.43 Å³/atom
# Theoretical density = 8.91 g/cm3
data_AcCePd
_space_group_name_H-M_alt 'I 4 m m'
_space_group_IT_number 107
_space_group_name_Hall 'I 4 -2'
_cell_length_a 3.759
_cell_length_b 3.759
_cell_length_c 12.497
_cell_angle_alpha 90.00
_cell_angle_beta 90.00
_cell_angle_gamma 90.00
loop_
_atom_site_label
_atom_site_type_symbol
_atom_site_fract_x
_atom_site_fract_y
_atom_site_fract_z
_atom_site_occupancy
Ac1 Ac 0.000 0.000 0.000 1
Ce1 Ce 0.000 0.000 0.279 1
Pd1 Pd 0.000 0.000 0.665 1



Going by the energies, (one) is most stable and the next is 0.022 eV/atom up.



(one)
# Ac2CePd9 (PBE, optimized geometry)
# Volume = 20.04 Å³/atom
# Theoretical density = 10.72 g/cm3
data_Ac2CePd9
_space_group_name_H-M_alt 'R -3 m'
_space_group_IT_number 166
_space_group_name_Hall '-R 3 2"'
_cell_length_a 5.4871
_cell_length_b 5.4871
_cell_length_c 27.6689
_cell_angle_alpha 90.00
_cell_angle_beta 90.00
_cell_angle_gamma 120.00
loop_
_atom_site_label
_atom_site_type_symbol
_atom_site_fract_x
_atom_site_fract_y
_atom_site_fract_z
_atom_site_occupancy
Ac1 Ac 0.0000 0.0000 0.1362 1
Ce1 Ce 0.0000 0.0000 0.0000 1
Pd1 Pd 0.0000 0.0000 0.3331 1
Pd2 Pd 0.0000 0.0000 0.5000 1
Pd3 Pd 0.0017 0.5008 0.9175 1



(two)
# Ac2CePd9 (PBE, optimized geometry)
# Volume = 19.32 Å³/atom
# Theoretical density = 11.11 g/cm3
data_Ac2CePd9
_space_group_name_H-M_alt 'P 4/m m m'
_space_group_IT_number 123
_space_group_name_Hall '-P 4 2'
_cell_length_a 4.260
_cell_length_b 4.260
_cell_length_c 12.775
_cell_angle_alpha 90.00
_cell_angle_beta 90.00
_cell_angle_gamma 90.00
loop_
_atom_site_label
_atom_site_type_symbol
_atom_site_fract_x
_atom_site_fract_y
_atom_site_fract_z
_atom_site_occupancy
Ac1 Ac 0.000 0.000 0.169 1
Ce1 Ce 0.000 0.000 0.500 1
Pd1 Pd 0.000 0.500 0.000 1
Pd2 Pd 0.000 0.500 0.346 1
Pd3 Pd 0.500 0.500 0.172 1
Pd4 Pd 0.500 0.500 0.500 1



Going by the energies, (two) is most stable and the next is 0.102 eV/atom up.



(one)
# AcCePdRh (PBE, optimized geometry)
# Volume = 25.76 Å³/atom
# Theoretical density = 9.29 g/cm3
data_AcCePdRh
_space_group_name_H-M_alt 'R 3 m'
_space_group_IT_number 160
_space_group_name_Hall 'R 3 -2"'
_cell_length_a 4.6346
_cell_length_b 4.6346
_cell_length_c 16.6088
_cell_angle_alpha 90.00
_cell_angle_beta 90.00
_cell_angle_gamma 120.00
loop_
_atom_site_label
_atom_site_type_symbol
_atom_site_fract_x
_atom_site_fract_y
_atom_site_fract_z
_atom_site_occupancy
Ac1 Ac 0.0000 0.0000 0.0000 1
Ce1 Ce 0.0000 0.0000 0.4942 1
Pd1 Pd 0.0000 0.0000 0.2212 1
Rh1 Rh 0.0000 0.0000 0.7814 1



(two)
# AcCePdRh (PBE, optimized geometry)
# Volume = 24.24 Å³/atom
# Theoretical density = 9.87 g/cm3
data_AcCePdRh
_space_group_name_H-M_alt 'F -4 3 m'
_space_group_IT_number 216
_space_group_name_Hall 'F -4 2 3'
_cell_length_a 7.293
_cell_length_b 7.293
_cell_length_c 7.293
_cell_angle_alpha 90.00
_cell_angle_beta 90.00
_cell_angle_gamma 90.00
loop_
_atom_site_label
_atom_site_type_symbol
_atom_site_fract_x
_atom_site_fract_y
_atom_site_fract_z
_atom_site_occupancy
Ac1 Ac 0.000 0.000 0.000 1
Ce1 Ce 0.000 0.000 0.500 1
Pd1 Pd 0.250 0.250 0.250 1
Rh1 Rh 0.250 0.250 0.750 1



Going by the energies, (one) is most stable and the next is 0.067 eV/atom up.



(one)
# Ac2CePm (PBE, optimized geometry)
# Volume = 38.24 Å³/atom
# Theoretical density = 8.02 g/cm3
data_Ac2CePm
_space_group_name_H-M_alt 'P 4/m m m'
_space_group_IT_number 123
_space_group_name_Hall '-P 4 2'
_cell_length_a 5.397
_cell_length_b 5.397
_cell_length_c 5.252
_cell_angle_alpha 90.00
_cell_angle_beta 90.00
_cell_angle_gamma 90.00
loop_
_atom_site_label
_atom_site_type_symbol
_atom_site_fract_x
_atom_site_fract_y
_atom_site_fract_z
_atom_site_occupancy
Ac1 Ac 0.000 0.500 0.000 1
Ce1 Ce 0.000 0.000 0.500 1
Pm1 Pm 0.500 0.500 0.500 1



(two)
# Ac2CePm (PBE, optimized geometry)
# Volume = 39.02 Å³/atom
# Theoretical density = 7.86 g/cm3
data_Ac2CePm
_space_group_name_H-M_alt 'F m -3 m'
_space_group_IT_number 225
_space_group_name_Hall '-F 4 2 3'
_cell_length_a 8.546
_cell_length_b 8.546
_cell_length_c 8.546
_cell_angle_alpha 90.00
_cell_angle_beta 90.00
_cell_angle_gamma 90.00
loop_
_atom_site_label
_atom_site_type_symbol
_atom_site_fract_x
_atom_site_fract_y
_atom_site_fract_z
_atom_site_occupancy
Ac1 Ac 0.250 0.250 0.250 1
Ce1 Ce 0.000 0.000 0.000 1
Pm1 Pm 0.000 0.000 0.500 1



Going by the energies, (one) is most stable and the next is 0.096 eV/atom up.